(1)
Entry from Alexandria: a PBEsol-optimized structure of MnTc2Ru (SCAN).

energy relative to the elements	0.4	eV/f.u.
V	13.05	A^3/atom
total magnetization	0.00	μB/atom
SG	Amm2
crystal system	orthorhombic
E above lowest polymorph	0.105	eV per atom

```
MnTc2Ru
1.0
4.057 0.000 0.000
0.000 1.328 4.845
0.000 -1.328 4.845
Mn Tc Ru
1 2 1
Cartesian
0.000 0.000 0.000
0.000 0.000 7.193
2.029 0.000 1.154
2.029 0.000 3.744
```



(2)
Entry from Alexandria: a PBEsol-optimized structure of Li4Ti3Mn3Sb2O16 (SCAN).

V	10.94	A^3/atom
total magnetization	0.46	μB/atom
SG	Cm
crystal system	monoclinic
formation energy (no corrections)	-2403	meV per atom

```
Li4Ti3Mn3Sb2O16
1.0
5.170 -2.956 0.000
5.170 2.956 0.000
-0.179 0.000 10.024
Li Ti Mn Sb O
4 3 3 2 16
Cartesian
0.000 0.000 0.000
0.052 0.000 5.057
3.485 0.000 5.889
6.938 0.000 1.093
4.283 1.432 2.804
4.283 -1.432 2.804
8.520 0.000 7.743
1.782 0.000 2.873
5.964 1.450 7.740
5.964 -1.450 7.740
3.250 0.000 9.926
6.917 0.000 5.062
0.034 0.000 1.941
-0.013 0.000 6.862
2.782 1.438 1.741
4.127 1.561 8.813
1.463 0.000 8.914
6.045 1.491 4.053
3.545 0.000 3.902
5.096 0.000 1.801
2.782 -1.438 1.741
5.387 0.000 6.448
7.743 1.286 6.410
6.809 0.000 8.743
4.127 -1.561 8.813
6.045 -1.491 4.053
8.698 0.000 4.022
7.743 -1.286 6.410
```



(3)
Entry from Alexandria: a PBEsol-optimized structure of Li2PIr2 (SCAN).

energy relative to the elements	-2.7	eV/f.u.
V	14.85	A^3/atom
total magnetization	0.00	μB/atom
SG	P4/mbm
crystal system	tetragonal

```
Li2PIr2
1.0
5.861 0.000 0.000
0.000 5.861 0.000
0.000 0.000 4.322
Li P Ir
4 2 4
Cartesian
0.938 1.992 0.000
1.992 4.923 0.000
3.869 0.938 0.000
4.923 3.869 0.000
0.000 0.000 2.161
2.931 2.931 2.161
0.888 3.819 2.161
2.043 0.888 2.161
3.819 4.973 2.161
4.973 2.043 2.161
```



(4)
Entry from Alexandria: a PBEsol-optimized structure of TeIrBr2 (SCAN).

V	25.15	A^3/atom
total magnetization	0.00	μB/atom
SG	Pm
crystal system	monoclinic
formation energy (no corrections)	-83	meV per atom

```
TeIrBr2
1.0
5.304 0.000 0.000
0.000 3.761 0.000
-2.098 0.000 5.043
Te Ir Br
1 1 2
Cartesian
0.000 0.000 0.000
1.846 1.880 4.106
0.239 0.000 3.348
2.832 1.880 1.657
```



(5)
Entry from Alexandria: a PBEsol-optimized structure of Si4NiPt (SCAN).

V	13.73	A^3/atom
total magnetization	0.00	μB/atom
SG	F-43m
crystal system	cubic
formation energy (no corrections)	560	meV per atom

```
Si4NiPt
1.0
0.000 3.454 3.454
3.454 0.000 3.454
3.454 3.454 0.000
Si Ni Pt
4 1 1
Cartesian
0.861 0.861 0.861
2.593 2.593 0.861
2.593 0.861 2.593
0.861 2.593 2.593
5.181 5.181 5.181
3.454 3.454 3.454
```



(6)
Entry from Alexandria: a PBEsol-optimized structure of TaMnCo2 (SCAN).

energy relative to the elements	-1.2	eV/f.u.
V	12.70	A^3/atom
total magnetization	1.50	μB/atom
SG	P4/mmm
crystal system	tetragonal
E above lowest polymorph	0.058	eV per atom

```
TaMnCo2
1.0
2.952 0.000 0.000
0.000 2.952 0.000
0.000 0.000 5.830
Ta Mn Co
1 1 2
Cartesian
0.000 0.000 0.000
0.000 0.000 2.915
1.476 1.476 1.538
1.476 1.476 4.292
```



(7)
Entry from Alexandria: a PBEsol-optimized structure of La2YSc (SCAN).

energy relative to the elements	0.2	eV/f.u.
V	30.41	A^3/atom
total magnetization	0.00	μB/atom
SG	Cmmm
crystal system	orthorhombic
E above lowest polymorph	0.015	eV per atom

```
La2YSc
1.0
3.591 -4.705 0.000
3.591 4.705 0.000
0.000 0.000 3.600
La Y Sc
2 1 1
Cartesian
1.795 2.352 0.000
1.795 -2.352 0.000
0.000 0.000 1.800
3.591 0.000 1.800
```



(8)
Entry from Alexandria: a PBEsol-optimized structure of ReRh2Se (SCAN).

V	14.38	A^3/atom
total magnetization	0.00	μB/atom
SG	R-3m
crystal system	trigonal
formation energy (no corrections)	117	meV per atom

```
ReRh2Se
1.0
1.399 0.807 8.489
-1.399 0.807 8.489
0.000 -1.615 8.489
Re Rh Se
1 2 1
Cartesian
0.000 0.000 0.000
0.000 0.000 6.345
0.000 0.000 19.121
0.000 0.000 12.733
```



(9)
Entry from Alexandria: a PBEsol-optimized structure of Y2MgP (SCAN).

energy relative to the elements	-2.4	eV/f.u.
V	22.96	A^3/atom
total magnetization	0.00	μB/atom
SG	Imm2
crystal system	orthorhombic
E above lowest polymorph	0.274	eV per atom

```
Y2MgP
1.0
-1.801 2.362 5.400
1.801 -2.362 5.400
1.801 2.362 -5.400
Y Mg P
2 1 1
Cartesian
0.000 0.000 0.000
0.000 2.362 2.272
1.801 0.000 3.284
0.000 0.000 5.357
```



(10)
Entry from Alexandria: a PBEsol-optimized structure of Gd4Ni13C4 (SCAN).

energy relative to the elements	-6.1	eV/f.u.
V	12.52	A^3/atom
total magnetization	0.04	μB/atom
SG	Cmmm
crystal system	orthorhombic

```
Gd4Ni13C4
1.0
5.809 -5.921 0.000
5.809 5.921 0.000
0.000 0.000 3.824
Gd Ni C
4 13 4
Cartesian
5.809 3.690 0.000
4.042 0.000 0.000
7.575 0.000 0.000
5.809 -3.690 0.000
0.000 0.000 1.912
2.904 2.960 0.000
2.114 1.280 1.912
1.425 0.000 0.000
4.556 2.098 1.912
2.114 -1.280 1.912
7.061 2.098 1.912
2.904 -2.960 0.000
4.556 -2.098 1.912
9.503 1.280 1.912
7.061 -2.098 1.912
10.193 0.000 0.000
9.503 -1.280 1.912
2.904 2.960 1.912
5.809 0.681 1.912
2.904 -2.960 1.912
5.809 -0.681 1.912
```



(11)
Entry from Alexandria: a PBEsol-optimized structure of TlPPbS4 (SCAN).

V	24.14	A^3/atom
total magnetization	0.00	μB/atom
SG	Pnma
crystal system	orthorhombic
formation energy (no corrections)	-514	meV per atom

```
TlPPbS4
1.0
12.320 0.000 0.000
0.000 6.468 0.000
0.000 0.000 8.484
Tl P Pb S
4 4 4 16
Cartesian
1.348 1.617 1.061
4.812 4.851 5.303
7.508 1.617 3.181
10.972 4.851 7.423
1.877 4.851 3.159
4.283 1.617 7.401
8.037 4.851 1.083
10.443 1.617 5.325
1.596 1.617 5.155
4.564 4.851 0.913
7.756 1.617 7.571
10.724 4.851 3.329
0.624 4.851 1.543
0.837 4.851 4.930
3.045 3.246 7.320
3.045 6.456 7.320
3.115 0.012 3.078
3.115 3.222 3.078
5.323 1.617 0.689
5.536 1.617 5.785
6.784 4.851 2.699
6.997 4.851 7.795
9.205 3.246 5.405
9.205 6.456 5.405
9.275 0.012 1.164
9.275 3.222 1.164
11.483 1.617 3.553
11.696 1.617 6.941
```



(12)
Entry from Alexandria: a PBEsol-optimized structure of LaSnTe3 (SCAN).

V	34.48	A^3/atom
total magnetization	0.02	μB/atom
SG	Pm-3m
crystal system	cubic
formation energy (no corrections)	-422	meV per atom

```
LaSnTe3
1.0
5.566 0.000 0.000
0.000 5.566 0.000
0.000 0.000 5.566
La Sn Te
1 1 3
Cartesian
0.000 0.000 0.000
2.783 2.783 2.783
0.000 2.783 2.783
2.783 0.000 2.783
2.783 2.783 0.000
```



(13)
Entry from Alexandria: a PBEsol-optimized structure of ReNiTe (SCAN).

V	15.21	A^3/atom
total magnetization	0.00	μB/atom
SG	P-6m2
crystal system	hexagonal
E above lowest polymorph	0.126	eV per atom
formation energy (no corrections)	814	meV per atom

```
ReNiTe
1.0
4.176 0.000 0.000
-2.088 3.616 0.000
0.000 0.000 3.021
Re Ni Te
1 1 1
Cartesian
0.000 0.000 0.000
0.000 2.411 1.510
2.088 1.205 1.510
```



(14)
Entry from Alexandria: a PBEsol-optimized structure of PrNi9Ge4 (SCAN).

energy relative to the elements	-6.1	eV/f.u.
V	12.81	A^3/atom
total magnetization	0.00	μB/atom
SG	I4/mcm
crystal system	tetragonal

```
PrNi9Ge4
1.0
-3.933 3.933 5.798
3.933 -3.933 5.798
3.933 3.933 -5.798
Pr Ni Ge
2 18 8
Cartesian
0.000 0.000 2.899
0.000 0.000 8.697
3.933 0.000 0.000
2.954 -0.979 2.098
6.262 0.533 0.000
4.912 -0.979 3.699
0.533 1.604 0.000
4.466 2.329 0.000
4.912 0.979 2.098
2.329 3.400 0.000
2.954 0.979 3.699
0.000 3.933 0.000
0.979 2.954 2.098
1.604 0.533 5.798
-0.979 2.954 3.699
-0.533 1.604 5.798
3.400 2.329 5.798
-0.979 4.912 2.098
-2.329 3.400 5.798
0.979 4.912 3.699
2.569 1.364 -1.419
2.569 -1.364 4.379
2.569 1.364 1.419
2.569 -1.364 7.216
1.364 5.297 -1.419
1.364 2.569 4.379
1.364 5.297 1.419
1.364 2.569 7.216
```



(15)
Entry from Alexandria: a PBEsol-optimized structure of Dy10Ti6O27 (SCAN).

V	12.32	A^3/atom
total magnetization	0.00	μB/atom
SG	Cm
crystal system	monoclinic
formation energy (no corrections)	-3658	meV per atom

```
Dy10Ti6O27
1.0
6.351 -3.595 0.000
6.351 3.595 0.000
-4.410 0.000 11.606
Dy Ti O
10 6 27
Cartesian
0.000 0.000 0.000
-0.505 0.000 8.817
2.876 1.825 8.593
5.196 1.816 3.029
5.801 0.000 0.034
8.227 0.000 2.607
6.177 0.000 8.341
2.876 -1.825 8.593
5.196 -1.816 3.029
10.440 0.000 5.690
1.784 0.000 2.786
3.918 0.000 5.662
7.186 1.841 5.799
4.933 1.711 11.465
4.933 -1.711 11.465
7.186 -1.841 5.799
2.142 1.304 1.514
-2.386 0.000 7.870
-0.094 0.000 2.301
0.772 1.507 7.842
4.739 2.039 0.579
2.682 1.663 5.993
0.015 0.000 5.762
-0.846 0.000 11.051
2.737 1.590 10.805
5.120 1.447 5.290
3.480 0.000 3.706
2.142 -1.304 1.514
7.391 1.802 3.858
5.083 1.535 9.597
0.772 -1.507 7.842
3.950 0.000 7.577
6.062 0.000 2.118
2.682 -1.663 5.993
4.739 -2.039 0.579
8.919 0.000 0.502
7.113 0.000 6.236
2.737 -1.590 10.805
5.120 -1.447 5.290
5.083 -1.535 9.597
10.196 0.000 3.526
8.072 0.000 9.385
7.391 -1.802 3.858
```



(16)
Entry from Alexandria: a PBEsol-optimized structure of KAlAuSe2 (SCAN).

V	33.12	A^3/atom
total magnetization	0.49	μB/atom
SG	P4/mmm
crystal system	tetragonal
formation energy (no corrections)	1044	meV per atom

```
KAlAuSe2
1.0
5.507 0.000 0.000
0.000 5.507 0.000
0.000 0.000 5.462
K Al Au Se
1 1 1 2
Cartesian
0.000 0.000 0.000
2.753 2.753 2.731
0.000 0.000 2.731
0.000 2.753 0.000
2.753 0.000 0.000
```



(17)
Entry from Alexandria: a PBEsol-optimized structure of GaTc2I2 (SCAN).

V	23.17	A^3/atom
total magnetization	0.00	μB/atom
SG	I4/mmm
crystal system	tetragonal
formation energy (no corrections)	825	meV per atom

```
GaTc2I2
1.0
-2.129 2.129 6.393
2.129 -2.129 6.393
2.129 2.129 -6.393
Ga Tc I
1 2 2
Cartesian
0.000 0.000 0.000
2.129 0.000 3.197
0.000 2.129 3.197
0.000 0.000 4.644
0.000 0.000 8.142
```



(18)
Entry from Alexandria: a PBEsol-optimized structure of SiP (SCAN).

V	20.18	A^3/atom
total magnetization	0.00	μB/atom
SG	Cmc2_1
crystal system	orthorhombic
formation energy (no corrections)	-168	meV per atom

```
SiP
1.0
1.752 -10.209 0.000
1.752 10.209 0.000
0.000 0.000 13.542
Si P
12 12
Cartesian
1.752 8.994 6.771
1.752 6.715 6.205
1.752 6.088 11.979
1.752 6.036 0.778
1.752 1.384 7.763
1.752 1.331 5.422
1.752 -1.331 12.193
1.752 -1.384 0.992
1.752 -6.036 7.549
1.752 -6.088 5.208
1.752 -6.715 12.976
1.752 -8.994 0.000
1.752 10.198 11.599
1.752 7.884 2.083
1.752 5.490 8.147
1.752 3.862 11.568
1.752 3.180 4.118
1.752 0.841 1.406
1.752 -0.841 8.177
1.752 -3.180 10.889
1.752 -3.862 4.798
1.752 -5.490 1.376
1.752 -7.884 8.854
1.752 -10.198 4.828
```



(19)
Entry from Alexandria: a PBEsol-optimized structure of Ir7Ru (SCAN).

energy relative to the elements	-0.2	eV/f.u.
V	13.94	A^3/atom
total magnetization	0.00	μB/atom
SG	Fm-3m
crystal system	cubic

```
Ir7Ru
1.0
0.000 3.821 3.821
3.821 0.000 3.821
3.821 3.821 0.000
Ir Ru
7 1
Cartesian
0.000 0.000 0.000
1.910 1.910 0.000
1.910 0.000 1.910
3.821 1.910 1.910
0.000 1.910 1.910
1.910 3.821 1.910
1.910 1.910 3.821
3.821 3.821 3.821
```



(20)
Entry from Alexandria: a PBEsol-optimized structure of Li2Hg (SCAN).

energy relative to the elements	-1.0	eV/f.u.
V	19.33	A^3/atom
total magnetization	0.00	μB/atom
SG	I4/mcm
crystal system	tetragonal

```
Li2Hg
1.0
-3.129 3.129 2.961
3.129 -3.129 2.961
3.129 3.129 -2.961
Li Hg
4 2
Cartesian
4.143 1.013 0.000
1.013 2.116 0.000
2.116 1.013 2.961
-1.013 2.116 2.961
0.000 0.000 1.481
0.000 0.000 4.442
```



(21)
Entry from Alexandria: a PBEsol-optimized structure of GaSi2Hg (SCAN).

V	18.14	A^3/atom
total magnetization	0.00	μB/atom
SG	Fm-3m
crystal system	cubic
formation energy (no corrections)	717	meV per atom

```
GaSi2Hg
1.0
0.000 3.311 3.311
3.311 0.000 3.311
3.311 3.311 0.000
Ga Si Hg
1 2 1
Cartesian
0.000 0.000 0.000
1.655 1.655 1.655
4.966 4.966 4.966
3.311 3.311 3.311
```